A plane-wave DFT calculation with PBE-GGA was carried out for Hf2PbAu2 after structural relaxation.

The value obtained for the calculated volume is 239.6 Å³ per cell. For the density of states at the Fermi level, the calculation gives 0.7066 states/eV per atom. For the size of the total moment, the calculation gives 0.000 μB/cell. The calculated formation energy is -0.451 eV per formula unit.

The space group is I4/mmm (No. 139) and the conventional cell measures 4.519, 4.519 and 11.732 Å, with angles of 90.00, 90.00 and 90.00 degrees. Symmetry generates all atoms from Hf at (0.000, 0.500, 0.250), Pb at (0.000, 0.000, 0.000) and Au at (0.000, 0.000, 0.387).